Entry 1:
# RbCdI2N, relaxed, DFT PBE-GGA
data_RbCdI2N
_chemical_formula_sum 'Rb1 Cd1 I2 N1'
_symmetry_space_group_name_H-M 'P 1'
_symmetry_Int_Tables_number 1
_cell_length_a 5.829
_cell_length_b 7.769
_cell_length_c 5.829
_cell_angle_alpha 90.00
_cell_angle_beta 90.00
_cell_angle_gamma 90.00
loop_
_symmetry_equiv_pos_as_xyz
'x,y,z'
loop_
_atom_site_label
_atom_site_fract_x
_atom_site_fract_y
_atom_site_fract_z
I1 0.000 0.000 0.500
I2 0.500 0.000 0.000
N1 0.500 0.500 0.500
Rb1 0.000 0.500 0.000
Cd1 0.000 0.000 0.000
# - VASP energy (eV/atom) = -2.11
# - excess energy over the best structure of this formula in the dataset (meV per atom) = 590
# - magnetization (μB/cell) = 2.56
# - raw formation energy (eV per atom) = 0.547
# - symmetry = No. 123
# - crystal system = tetragonal

Entry 2:
# CdReI2N, relaxed, DFT PBE-GGA
data_CdReI2N
_chemical_formula_sum 'Cd1 Re1 I2 N1'
_symmetry_space_group_name_H-M 'P 1'
_symmetry_Int_Tables_number 1
_cell_length_a 6.124
_cell_length_b 6.124
_cell_length_c 4.271
_cell_angle_alpha 90.00
_cell_angle_beta 90.00
_cell_angle_gamma 90.00
loop_
_symmetry_equiv_pos_as_xyz
'x,y,z'
loop_
_atom_site_label
_atom_site_fract_x
_atom_site_fract_y
_atom_site_fract_z
I1 0.000 0.500 0.000
I2 0.500 0.000 0.000
Re1 0.500 0.500 0.500
N1 0.000 0.000 0.500
Cd1 0.000 0.000 0.000
# - VASP energy (eV/atom) = -3.18
# - excess energy over the best structure of this formula in the dataset (meV per atom) = 1403
# - magnetization (μB/cell) = 7.72
# - raw formation energy (eV per atom) = 1.777
# - symmetry = No. 123
# - crystal system = tetragonal

Entry 3:
# CdReIN2, relaxed, DFT PBE-GGA
data_CdReIN2
_chemical_formula_sum 'Cd1 Re1 I1 N2'
_symmetry_space_group_name_H-M 'P 1'
_symmetry_Int_Tables_number 1
_cell_length_a 4.195
_cell_length_b 4.195
_cell_length_c 6.882
_cell_angle_alpha 90.00
_cell_angle_beta 90.00
_cell_angle_gamma 90.00
loop_
_symmetry_equiv_pos_as_xyz
'x,y,z'
loop_
_atom_site_label
_atom_site_fract_x
_atom_site_fract_y
_atom_site_fract_z
I1 0.000 0.000 0.500
Re1 0.500 0.500 0.500
N1 0.000 0.500 0.000
N2 0.500 0.000 0.000
Cd1 0.000 0.000 0.000
# - VASP energy (eV/atom) = -3.74
# - excess energy over the best structure of this formula in the dataset (meV per atom) = 1904
# - magnetization (μB/cell) = 7.08
# - raw formation energy (eV per atom) = 2.573
# - symmetry = No. 123
# - crystal system = tetragonal

Entry 4:
# CdReI2N, relaxed, DFT PBE-GGA
data_CdReI2N
_chemical_formula_sum 'Cd1 Re1 I2 N1'
_symmetry_space_group_name_H-M 'P 1'
_symmetry_Int_Tables_number 1
_cell_length_a 5.676
_cell_length_b 5.676
_cell_length_c 3.799
_cell_angle_alpha 90.00
_cell_angle_beta 90.00
_cell_angle_gamma 90.00
loop_
_symmetry_equiv_pos_as_xyz
'x,y,z'
loop_
_atom_site_label
_atom_site_fract_x
_atom_site_fract_y
_atom_site_fract_z
I1 0.000 0.500 0.000
I2 0.500 0.000 0.000
Re1 0.000 0.000 0.000
N1 0.000 0.000 0.500
Cd1 0.500 0.500 0.500
# - VASP energy (eV/atom) = -4.58
# - excess energy over the best structure of this formula in the dataset (meV per atom) = 0
# - magnetization (μB/cell) = 0.00
# - raw formation energy (eV per atom) = 0.374
# - symmetry = No. 123
# - crystal system = tetragonal

Entry 5:
# CdReIN2, relaxed, DFT PBE-GGA
data_CdReIN2
_chemical_formula_sum 'Cd1 Re1 I1 N2'
_symmetry_space_group_name_H-M 'P 1'
_symmetry_Int_Tables_number 1
_cell_length_a 3.976
_cell_length_b 3.976
_cell_length_c 5.860
_cell_angle_alpha 90.00
_cell_angle_beta 90.00
_cell_angle_gamma 90.00
loop_
_symmetry_equiv_pos_as_xyz
'x,y,z'
loop_
_atom_site_label
_atom_site_fract_x
_atom_site_fract_y
_atom_site_fract_z
I1 0.000 0.000 0.500
Re1 0.000 0.000 0.000
N1 0.000 0.500 0.000
N2 0.500 0.000 0.000
Cd1 0.500 0.500 0.500
# - VASP energy (eV/atom) = -5.64
# - excess energy over the best structure of this formula in the dataset (meV per atom) = 0
# - magnetization (μB/cell) = 0.19
# - raw formation energy (eV per atom) = 0.668
# - symmetry = No. 123
# - crystal system = tetragonal

Entry 6:
# CdRuI2N, relaxed, DFT PBE-GGA
data_CdRuI2N
_chemical_formula_sum 'Cd1 Ru1 I2 N1'
_symmetry_space_group_name_H-M 'P 1'
_symmetry_Int_Tables_number 1
_cell_length_a 5.997
_cell_length_b 5.997
_cell_length_c 4.196
_cell_angle_alpha 90.00
_cell_angle_beta 90.00
_cell_angle_gamma 90.00
loop_
_symmetry_equiv_pos_as_xyz
'x,y,z'
loop_
_atom_site_label
_atom_site_fract_x
_atom_site_fract_y
_atom_site_fract_z
I1 0.000 0.500 0.000
I2 0.500 0.000 0.000
Ru1 0.500 0.500 0.500
N1 0.000 0.000 0.500
Cd1 0.000 0.000 0.000
# - VASP energy (eV/atom) = -2.89
# - excess energy over the best structure of this formula in the dataset (meV per atom) = 1142
# - magnetization (μB/cell) = 5.02
# - raw formation energy (eV per atom) = 1.431
# - symmetry = No. 123
# - crystal system = tetragonal

Entry 7:
# CdRuI2N, relaxed, DFT PBE-GGA
data_CdRuI2N
_chemical_formula_sum 'Cd1 Ru1 I2 N1'
_symmetry_space_group_name_H-M 'P 1'
_symmetry_Int_Tables_number 1
_cell_length_a 5.643
_cell_length_b 5.643
_cell_length_c 3.746
_cell_angle_alpha 90.00
_cell_angle_beta 90.00
_cell_angle_gamma 90.00
loop_
_symmetry_equiv_pos_as_xyz
'x,y,z'
loop_
_atom_site_label
_atom_site_fract_x
_atom_site_fract_y
_atom_site_fract_z
I1 0.000 0.500 0.000
I2 0.500 0.000 0.000
Ru1 0.000 0.000 0.000
N1 0.000 0.000 0.500
Cd1 0.500 0.500 0.500
# - VASP energy (eV/atom) = -4.03
# - excess energy over the best structure of this formula in the dataset (meV per atom) = 0
# - magnetization (μB/cell) = 0.00
# - raw formation energy (eV per atom) = 0.289
# - symmetry = No. 123
# - crystal system = tetragonal

Entry 8:
# CdSIN2, relaxed, DFT PBE-GGA
data_CdSIN2
_chemical_formula_sum 'Cd1 S1 I1 N2'
_symmetry_space_group_name_H-M 'P 1'
_symmetry_Int_Tables_number 1
_cell_length_a 4.318
_cell_length_b 4.318
_cell_length_c 5.942
_cell_angle_alpha 90.00
_cell_angle_beta 90.00
_cell_angle_gamma 90.00
loop_
_symmetry_equiv_pos_as_xyz
'x,y,z'
loop_
_atom_site_label
_atom_site_fract_x
_atom_site_fract_y
_atom_site_fract_z
I1 0.500 0.500 0.500
S1 0.000 0.000 0.500
N1 0.000 0.500 0.000
N2 0.500 0.000 0.000
Cd1 0.000 0.000 0.000
# - VASP energy (eV/atom) = -2.92
# - excess energy over the best structure of this formula in the dataset (meV per atom) = 176
# - magnetization (μB/cell) = 4.10
# - raw formation energy (eV per atom) = 1.727
# - symmetry = No. 123
# - crystal system = tetragonal

Entry 9:
# CdSIN2, relaxed, DFT PBE-GGA
data_CdSIN2
_chemical_formula_sum 'Cd1 S1 I1 N2'
_symmetry_space_group_name_H-M 'P 1'
_symmetry_Int_Tables_number 1
_cell_length_a 3.958
_cell_length_b 3.958
_cell_length_c 6.033
_cell_angle_alpha 90.00
_cell_angle_beta 90.00
_cell_angle_gamma 90.00
loop_
_symmetry_equiv_pos_as_xyz
'x,y,z'
loop_
_atom_site_label
_atom_site_fract_x
_atom_site_fract_y
_atom_site_fract_z
I1 0.000 0.000 0.000
S1 0.000 0.000 0.500
N1 0.000 0.500 0.000
N2 0.500 0.000 0.000
Cd1 0.500 0.500 0.500
# - VASP energy (eV/atom) = -3.10
# - excess energy over the best structure of this formula in the dataset (meV per atom) = 0
# - magnetization (μB/cell) = 0.00
# - raw formation energy (eV per atom) = 1.551
# - symmetry = No. 123
# - crystal system = tetragonal

Entry 10:
# CdSIN2, relaxed, DFT PBE-GGA
data_CdSIN2
_chemical_formula_sum 'Cd1 S1 I1 N2'
_symmetry_space_group_name_H-M 'P 1'
_symmetry_Int_Tables_number 1
_cell_length_a 4.280
_cell_length_b 4.280
_cell_length_c 6.712
_cell_angle_alpha 90.00
_cell_angle_beta 90.00
_cell_angle_gamma 90.00
loop_
_symmetry_equiv_pos_as_xyz
'x,y,z'
loop_
_atom_site_label
_atom_site_fract_x
_atom_site_fract_y
_atom_site_fract_z
I1 0.000 0.000 0.500
S1 0.500 0.500 0.500
N1 0.000 0.500 0.000
N2 0.500 0.000 0.000
Cd1 0.000 0.000 0.000
# - VASP energy (eV/atom) = -2.85
# - excess energy over the best structure of this formula in the dataset (meV per atom) = 252
# - magnetization (μB/cell) = 4.03
# - raw formation energy (eV per atom) = 1.803
# - symmetry = No. 123
# - crystal system = tetragonal

Entry 11:
# CdSIN2, relaxed, DFT PBE-GGA
data_CdSIN2
_chemical_formula_sum 'Cd1 S1 I1 N2'
_symmetry_space_group_name_H-M 'P 1'
_symmetry_Int_Tables_number 1
_cell_length_a 3.865
_cell_length_b 3.865
_cell_length_c 7.136
_cell_angle_alpha 90.00
_cell_angle_beta 90.00
_cell_angle_gamma 90.00
loop_
_symmetry_equiv_pos_as_xyz
'x,y,z'
loop_
_atom_site_label
_atom_site_fract_x
_atom_site_fract_y
_atom_site_fract_z
I1 0.000 0.000 0.500
S1 0.000 0.000 0.000
N1 0.000 0.500 0.000
N2 0.500 0.000 0.000
Cd1 0.500 0.500 0.500
# - VASP energy (eV/atom) = -3.08
# - excess energy over the best structure of this formula in the dataset (meV per atom) = 19
# - magnetization (μB/cell) = 0.81
# - raw formation energy (eV per atom) = 1.570
# - symmetry = No. 123
# - crystal system = tetragonal

Entry 12:
# CdSb2IN, relaxed, DFT PBE-GGA
data_CdSb2IN
_chemical_formula_sum 'Cd1 Sb2 I1 N1'
_symmetry_space_group_name_H-M 'P 1'
_symmetry_Int_Tables_number 1
_cell_length_a 4.910
_cell_length_b 4.910
_cell_length_c 4.861
_cell_angle_alpha 90.00
_cell_angle_beta 90.00
_cell_angle_gamma 90.00
loop_
_symmetry_equiv_pos_as_xyz
'x,y,z'
loop_
_atom_site_label
_atom_site_fract_x
_atom_site_fract_y
_atom_site_fract_z
I1 0.000 0.000 0.500
Sb1 0.000 0.500 0.000
Sb2 0.500 0.000 0.000
N1 0.000 0.000 0.000
Cd1 0.500 0.500 0.500
# - VASP energy (eV/atom) = -3.06
# - excess energy over the best structure of this formula in the dataset (meV per atom) = 0
# - magnetization (μB/cell) = 0.00
# - raw formation energy (eV per atom) = 0.743
# - symmetry = No. 123
# - crystal system = tetragonal

Entry 13:
# CdSbI2N, relaxed, DFT PBE-GGA
data_CdSbI2N
_chemical_formula_sum 'Cd1 Sb1 I2 N1'
_symmetry_space_group_name_H-M 'P 1'
_symmetry_Int_Tables_number 1
_cell_length_a 5.710
_cell_length_b 5.710
_cell_length_c 5.723
_cell_angle_alpha 90.00
_cell_angle_beta 90.00
_cell_angle_gamma 90.00
loop_
_symmetry_equiv_pos_as_xyz
'x,y,z'
loop_
_atom_site_label
_atom_site_fract_x
_atom_site_fract_y
_atom_site_fract_z
I1 0.000 0.500 0.000
I2 0.500 0.000 0.000
Sb1 0.000 0.000 0.500
N1 0.500 0.500 0.500
Cd1 0.000 0.000 0.000
# - VASP energy (eV/atom) = -1.62
# - excess energy over the best structure of this formula in the dataset (meV per atom) = 1139
# - magnetization (μB/cell) = 0.00
# - raw formation energy (eV per atom) = 1.672
# - symmetry = No. 123
# - crystal system = tetragonal

Entry 14:
# CdSbIN2, relaxed, DFT PBE-GGA
data_CdSbIN2
_chemical_formula_sum 'Cd1 Sb1 I1 N2'
_symmetry_space_group_name_H-M 'P 1'
_symmetry_Int_Tables_number 1
_cell_length_a 4.549
_cell_length_b 4.549
_cell_length_c 6.205
_cell_angle_alpha 90.00
_cell_angle_beta 90.00
_cell_angle_gamma 90.00
loop_
_symmetry_equiv_pos_as_xyz
'x,y,z'
loop_
_atom_site_label
_atom_site_fract_x
_atom_site_fract_y
_atom_site_fract_z
I1 0.000 0.000 0.500
Sb1 0.500 0.500 0.500
N1 0.000 0.500 0.000
N2 0.500 0.000 0.000
Cd1 0.000 0.000 0.000
# - VASP energy (eV/atom) = -2.94
# - excess energy over the best structure of this formula in the dataset (meV per atom) = 572
# - magnetization (μB/cell) = 2.77
# - raw formation energy (eV per atom) = 1.708
# - symmetry = No. 123
# - crystal system = tetragonal